Entry from Alexandria via LeMat-Bulk: a relaxed TcNiP2O crystal (PBE+U).

abc: 4.4715 4.4715 3.4329
angles: 90.00 90.00 90.00
Closest atoms and distances in Å follow each position.
Space group P4/mmm (No. 123)
Asymmetric unit:
Tc 0.0000 0.0000 0.0000 x1  8 P 2.82
Ni 0.5000 0.5000 0.5000 x1  2 O 1.72
P 0.0000 0.5000 0.5000 x2  2 Ni 2.24
O 0.5000 0.5000 0.0000 x1  2 Ni 1.72

## Properties
Size of the total moment in μB per formula unit: 2.2
Theoretical density in g cm⁻³: 5.7
Excess energy over the best structure of this formula in the dataset in kcal/mol of atoms: 9.65
Calculated volume in Å³/atom: 13.73
Raw total energy in eV per atom: -5.102